No. 1
Compound: Si3RuCl
Source: Alexandria via LeMat-Bulk
Functional: PBE
Structure: optimized geometry

Properties
polymorph energy (0 for the lowest one)	1.408	eV per atom
Fermi-level density of states	3.16	states/eV/f.u.
uncorrected formation energy	1.469	eV/atom
electronic total energy	-4.0092	eV per atom

Lattice parameters (Å, degrees): 4.4145 4.4145 4.4145 90.00 90.00 90.00
Space group Pm-3m (No. 221)
Symmetry-distinct sites (fractional):
Si: 0.0000 0.0000 0.5000 [3 per cell]
Ru: 0.5000 0.5000 0.5000 [1 per cell]
Cl: 0.0000 0.0000 0.0000 [1 per cell]


No. 2
Compound: Ba2ZnPAu
Source: Alexandria via LeMat-Bulk
Functional: PBE
Structure: optimized geometry

Properties
E_form	-0.73	eV per atom
Fermi-level density of states	1.26	states/eV/f.u.
electronic total energy	-3.4881	eV per atom

Lattice parameters (Å, degrees): 6.7589 4.8847 9.4904 90.00 96.75 90.00
Space group P2_1/m (No. 11)
Symmetry-distinct sites (fractional):
Ba: 0.1557 0.2500 0.3529 [2 per cell]
Ba: 0.2502 0.2500 0.9203 [2 per cell]
Zn: 0.4926 0.2500 0.6365 [2 per cell]
P: 0.2572 0.7500 0.1491 [2 per cell]
Au: 0.3325 0.7500 0.6180 [2 per cell]


No. 3
Compound: Rb3TaPb2S6
Source: Alexandria via LeMat-Bulk
Functional: PBE
Structure: optimized geometry

Properties
uncorrected formation energy	-0.954	eV/atom
electronic total energy	-4.8652	eV per atom

Lattice parameters (Å, degrees): 7.2365 12.4920 7.8544 90.00 107.98 90.00
Space group C2/m (No. 12)
Symmetry-distinct sites (fractional):
Rb: 0.0000 0.0000 0.0000 [2 per cell]
Rb: 0.0000 0.3246 0.0000 [4 per cell]
Ta: 0.0000 0.5000 0.5000 [2 per cell]
Pb: 0.0000 0.1656 0.5000 [4 per cell]
S: 0.2063 0.3569 0.6896 [8 per cell]
S: 0.2195 0.5000 0.3080 [4 per cell]


No. 4
Compound: Sr2NCl
Source: Alexandria via LeMat-Bulk
Functional: PBE
Structure: optimized geometry

Properties
Fermi-level density of states	0.00	states/eV/f.u.
uncorrected formation energy	-1.402	eV/atom
electronic total energy	-4.7855	eV per atom

Lattice parameters (Å, degrees): 3.8791 3.8791 21.7009 90.00 90.00 120.00
Space group R3m (No. 160, hexagonal axes)
Symmetry-distinct sites (fractional):
Sr: 0.0000 0.0000 0.0000 [3 per cell]
Sr: 0.0000 0.0000 0.2077 [3 per cell]
N: 0.0000 0.0000 0.6039 [3 per cell]
Cl: 0.0000 0.0000 0.4352 [3 per cell]


No. 5
Compound: Sr5Pt
Source: Alexandria via LeMat-Bulk
Functional: PBE
Structure: optimized geometry

Properties
E_form	-0.13	eV per atom
polymorph energy (0 for the lowest one)	0.134	eV per atom
Fermi-level density of states	7.18	states/eV/f.u.
electronic total energy	-2.5427	eV per atom

Lattice parameters (Å, degrees): 4.2462 20.3868 6.3358 90.00 90.00 90.00
Space group Cmmm (No. 65)
Symmetry-distinct sites (fractional):
Sr: 0.0000 0.0000 0.0000 [2 per cell]
Sr: 0.0000 0.1055 0.5000 [4 per cell]
Sr: 0.0000 0.3316 0.0000 [4 per cell]
Pt: 0.0000 0.5000 0.5000 [2 per cell]


No. 6
Compound: KCrSi4
Source: Alexandria via LeMat-Bulk
Functional: PBE
Structure: optimized geometry

Properties
Fermi-level density of states	1.91	states/eV/f.u.
uncorrected formation energy	0.541	eV/atom
electronic total energy	-4.8612	eV per atom

Lattice parameters (Å, degrees): 7.5194 7.5194 7.5194 90.00 90.00 90.00
Space group F-43m (No. 216)
Symmetry-distinct sites (fractional):
K: 0.0000 0.0000 0.0000 [4 per cell]
Cr: 0.2500 0.2500 0.2500 [4 per cell]
Si: 0.1249 0.1249 0.6249 [16 per cell]


No. 7
Compound: La8HgRu2
Source: Alexandria via LeMat-Bulk
Functional: PBE
Structure: optimized geometry

Properties
E_form	-0.22	eV per atom
polymorph energy (0 for the lowest one)	0.000	eV per atom
Fermi-level density of states	14.32	states/eV/f.u.
electronic total energy	-5.5128	eV per atom

Lattice parameters (Å, degrees): 15.4194 7.0603 6.5908 90.00 97.50 90.00
Space group C2/m (No. 12)
Symmetry-distinct sites (fractional):
La: 0.0736 0.0000 0.3272 [4 per cell]
La: 0.1290 0.2592 0.8765 [8 per cell]
La: 0.2004 0.5000 0.3790 [4 per cell]
Hg: 0.0000 0.5000 0.5000 [2 per cell]
Ru: 0.2253 0.0000 0.1930 [4 per cell]


No. 8
Compound: NaTcRh2I
Source: Alexandria via LeMat-Bulk
Functional: PBE
Structure: optimized geometry

Properties
Fermi-level density of states	4.37	states/eV/f.u.
uncorrected formation energy	1.161	eV/atom
electronic total energy	-4.4263	eV per atom

Lattice parameters (Å, degrees): 4.9112 4.9112 4.9706 90.00 90.00 90.00
Space group P4/mmm (No. 123)
Symmetry-distinct sites (fractional):
Na: 0.0000 0.0000 0.0000 [1 per cell]
Tc: 0.5000 0.5000 0.0000 [1 per cell]
Rh: 0.0000 0.5000 0.5000 [2 per cell]
I: 0.5000 0.5000 0.5000 [1 per cell]


No. 9
Compound: Y2HfInC
Source: Alexandria via LeMat-Bulk
Functional: PBE
Structure: optimized geometry

Properties
E_form	-0.48	eV per atom
Fermi-level density of states	2.34	states/eV/f.u.
electronic total energy	-7.4484	eV per atom

Lattice parameters (Å, degrees): 4.9028 4.9028 4.5607 90.00 90.00 90.00
Space group P4/mmm (No. 123)
Symmetry-distinct sites (fractional):
Y: 0.0000 0.5000 0.0000 [2 per cell]
Hf: 0.0000 0.0000 0.5000 [1 per cell]
In: 0.5000 0.5000 0.5000 [1 per cell]
C: 0.0000 0.0000 0.0000 [1 per cell]


No. 10
Compound: La2CrHg
Source: Alexandria via LeMat-Bulk
Functional: PBE
Structure: optimized geometry

Properties
E_form	0.05	eV per atom
Fermi-level density of states	4.99	states/eV/f.u.
electronic total energy	-4.8902	eV per atom

Lattice parameters (Å, degrees): 12.2317 3.8353 5.2233 90.00 115.17 90.00
Space group Cm (No. 8)
Symmetry-distinct sites (fractional):
La: 0.0000 0.0000 0.0000 [2 per cell]
La: 0.2130 0.0000 0.7129 [2 per cell]
Cr: 0.4573 0.0000 0.4577 [2 per cell]
Hg: 0.2679 0.5000 0.2675 [2 per cell]


No. 11
Compound: AcCu2TeS2
Source: Alexandria via LeMat-Bulk
Functional: PBE
Structure: optimized geometry

Properties
Fermi-level density of states	1.66	states/eV/f.u.
uncorrected formation energy	-0.814	eV/atom
electronic total energy	-4.7638	eV per atom

Lattice parameters (Å, degrees): 6.4940 6.5345 7.7026 90.00 114.16 90.00
Space group P2_1/m (No. 11)
Symmetry-distinct sites (fractional):
Ac: 0.1528 0.2500 0.2934 [2 per cell]
Cu: 0.2486 0.7500 0.1945 [2 per cell]
Cu: 0.4968 0.7500 0.9897 [2 per cell]
Te: 0.2626 0.7500 0.5219 [2 per cell]
S: 0.2423 0.0025 0.9899 [4 per cell]


No. 12
Compound: Cd2Pb2Br7
Source: Alexandria via LeMat-Bulk
Functional: PBE
Structure: optimized geometry

Properties
Fermi-level density of states	3.94	states/eV/f.u.
uncorrected formation energy	-0.720	eV/atom
electronic total energy	-2.6251	eV per atom

Lattice parameters (Å, degrees): 9.6867 12.3849 7.6027 90.00 99.36 90.00
Space group C2/m (No. 12)
Symmetry-distinct sites (fractional):
Cd: 0.2457 0.0000 0.0909 [4 per cell]
Pb: 0.0000 0.1920 0.5000 [4 per cell]
Br: 0.0000 0.5000 0.0000 [2 per cell]
Br: 0.0923 0.0000 0.7436 [4 per cell]
Br: 0.2378 0.1900 0.2712 [8 per cell]


No. 13
Compound: TaTcHg
Source: Alexandria via LeMat-Bulk
Functional: PBE
Structure: optimized geometry

Properties
E_form	0.26	eV per atom
polymorph energy (0 for the lowest one)	0.139	eV per atom
Fermi-level density of states	2.74	states/eV/f.u.
electronic total energy	-7.2448	eV per atom

Lattice parameters (Å, degrees): 3.1697 3.1697 6.5871 90.00 90.00 120.00
Space group P3m1 (No. 156)
Symmetry-distinct sites (fractional):
Ta: 0.0000 0.0000 0.0000 [1 per cell]
Tc: 0.3333 0.6667 0.2649 [1 per cell]
Hg: 0.6667 0.3333 0.6285 [1 per cell]


No. 14
Compound: BaHgW
Source: Alexandria via LeMat-Bulk
Functional: PBE
Structure: optimized geometry

Properties
E_form	0.98	eV per atom
polymorph energy (0 for the lowest one)	0.001	eV per atom
Fermi-level density of states	3.10	states/eV/f.u.
electronic total energy	-4.0791	eV per atom

Lattice parameters (Å, degrees): 3.1871 4.1507 12.2392 90.00 90.00 90.00
Space group Imm2 (No. 44)
Symmetry-distinct sites (fractional):
Ba: 0.0000 0.0000 0.0000 [2 per cell]
Hg: 0.0000 0.0000 0.7106 [2 per cell]
W: 0.0000 0.0000 0.2958 [2 per cell]


No. 15
Compound: Mn6CN
Source: Alexandria via LeMat-Bulk
Functional: PBE
Structure: optimized geometry

Properties
Fermi-level density of states	9.10	states/eV/f.u.
uncorrected formation energy	-0.088	eV/atom
electronic total energy	-9.1592	eV per atom

Lattice parameters (Å, degrees): 4.6419 4.6592 5.1253 116.78 90.17 119.79
Space group P-1 (No. 2)
Symmetry-distinct sites (fractional):
Mn: 0.0656 0.4956 0.2497 [2 per cell]
Mn: 0.2369 0.1703 0.7453 [2 per cell]
Mn: 0.4300 0.1690 0.2444 [2 per cell]
C: 0.5000 0.0000 0.5000 [1 per cell]
N: 0.0000 0.0000 0.0000 [1 per cell]


No. 16
Compound: In2CuPt2
Source: Alexandria via LeMat-Bulk
Functional: PBE
Structure: optimized geometry

Properties
E_form	-0.30	eV per atom
polymorph energy (0 for the lowest one)	0.000	eV per atom
Fermi-level density of states	1.67	states/eV/f.u.
electronic total energy	-4.6306	eV per atom

Lattice parameters (Å, degrees): 6.8968 6.8968 3.8738 90.00 90.00 90.00
Space group P4/mbm (No. 127)
Symmetry-distinct sites (fractional):
In: 0.1611 0.3389 0.0000 [4 per cell]
Cu: 0.0000 0.0000 0.5000 [2 per cell]
Pt: 0.1451 0.6451 0.5000 [4 per cell]


No. 17
Compound: ErZn6Cu6
Source: Alexandria via LeMat-Bulk
Functional: PBE
Structure: optimized geometry

Properties
E_form	-0.17	eV per atom
Fermi-level density of states	6.20	states/eV/f.u.
electronic total energy	-3.0045	eV per atom

Lattice parameters (Å, degrees): 4.9344 8.6437 8.7775 90.00 90.00 90.00
Space group Immm (No. 71)
Symmetry-distinct sites (fractional):
Er: 0.0000 0.0000 0.0000 [2 per cell]
Zn: 0.0000 0.0000 0.3502 [4 per cell]
Zn: 0.0000 0.3469 0.0000 [4 per cell]
Zn: 0.0000 0.5000 0.2965 [4 per cell]
Cu: 0.0000 0.2773 0.5000 [4 per cell]
Cu: 0.2500 0.2500 0.2500 [8 per cell]


No. 18
Compound: Pm3PrTl3
Source: Alexandria via LeMat-Bulk
Functional: PBE
Structure: optimized geometry

Properties
E_form	-0.29	eV per atom
polymorph energy (0 for the lowest one)	0.000	eV per atom
Fermi-level density of states	8.51	states/eV/f.u.
electronic total energy	-4.0191	eV per atom

Lattice parameters (Å, degrees): 9.5990 9.5990 9.5990 90.00 90.00 90.00
Space group P2_13 (No. 198)
Symmetry-distinct sites (fractional):
Pm: 0.0753 0.4247 0.5753 [4 per cell]
Pm: 0.1772 0.1772 0.1772 [4 per cell]
Pm: 0.1775 0.8225 0.3225 [4 per cell]
Pr: 0.0735 0.5735 0.9265 [4 per cell]
Tl: 0.9996 0.2477 0.8783 [12 per cell]


No. 19
Compound: RbNd2AgSe4
Source: Alexandria via LeMat-Bulk
Functional: PBE
Structure: optimized geometry

Properties
uncorrected formation energy	-1.487	eV/atom
electronic total energy	-4.8988	eV per atom

Lattice parameters (Å, degrees): 4.3343 14.6432 15.1155 90.00 90.00 90.00
Space group Cmcm (No. 63)
Symmetry-distinct sites (fractional):
Rb: 0.0000 0.1172 0.2500 [4 per cell]
Nd: 0.0000 0.3680 0.0659 [8 per cell]
Ag: 0.0000 0.1606 0.7500 [4 per cell]
Se: 0.0000 0.0000 0.0000 [4 per cell]
Se: 0.0000 0.2636 0.6049 [8 per cell]
Se: 0.0000 0.4423 0.2500 [4 per cell]


No. 20
Compound: Ce4ThSb5
Source: Alexandria via LeMat-Bulk
Functional: PBE
Structure: optimized geometry

Properties
Fermi-level density of states	27.39	states/eV/f.u.
uncorrected formation energy	-1.025	eV/atom
electronic total energy	-6.2021	eV per atom

Lattice parameters (Å, degrees): 4.5028 6.3708 22.5231 90.00 90.00 90.00
Space group Immm (No. 71)
Symmetry-distinct sites (fractional):
Ce: 0.0000 0.0000 0.1002 [4 per cell]
Ce: 0.0000 0.0000 0.2997 [4 per cell]
Th: 0.0000 0.0000 0.5000 [2 per cell]
Sb: 0.0000 0.5000 0.1003 [4 per cell]
Sb: 0.0000 0.5000 0.3001 [4 per cell]
Sb: 0.0000 0.5000 0.5000 [2 per cell]


No. 21
Compound: Pm2Dy6Ho3
Source: Alexandria via LeMat-Bulk
Functional: PBE
Structure: optimized geometry

Properties
E_form	0.18	eV per atom
polymorph energy (0 for the lowest one)	0.000	eV per atom
Fermi-level density of states	18.20	states/eV/f.u.
electronic total energy	-4.4390	eV per atom

Lattice parameters (Å, degrees): 6.1017 10.5841 11.6698 90.00 100.16 90.00
Space group C2/m (No. 12)
Symmetry-distinct sites (fractional):
Pm: 0.0000 0.1666 0.0000 [4 per cell]
Dy: 0.2492 0.1667 0.7474 [8 per cell]
Dy: 0.2504 0.0000 0.2525 [4 per cell]
Ho: 0.0000 0.0000 0.5000 [2 per cell]
Ho: 0.0000 0.3348 0.5000 [4 per cell]


No. 22
Compound: CaSc2Mn
Source: Alexandria via LeMat-Bulk
Functional: PBE
Structure: optimized geometry

Properties
E_form	0.34	eV per atom
polymorph energy (0 for the lowest one)	0.230	eV per atom
Fermi-level density of states	5.85	states/eV/f.u.
electronic total energy	-5.6146	eV per atom

Lattice parameters (Å, degrees): 4.5377 4.5495 4.6546 90.00 90.00 90.00
Space group Pmmm (No. 47)
Symmetry-distinct sites (fractional):
Ca: 0.0000 0.0000 0.0000 [1 per cell]
Sc: 0.0000 0.5000 0.5000 [1 per cell]
Sc: 0.5000 0.0000 0.5000 [1 per cell]
Mn: 0.5000 0.5000 0.0000 [1 per cell]


No. 23
Compound: Cs6K9Au
Source: Alexandria via LeMat-Bulk
Functional: PBE
Structure: optimized geometry

Properties
E_form	-0.04	eV per atom
Fermi-level density of states	12.61	states/eV/f.u.
electronic total energy	-1.1834	eV per atom

Lattice parameters (Å, degrees): 11.0122 11.0122 21.4071 90.00 90.00 90.00
Space group I4/m (No. 87)
Symmetry-distinct sites (fractional):
Cs: 0.0000 0.0000 0.1665 [4 per cell]
Cs: 0.1159 0.6963 0.0000 [8 per cell]
K: 0.0000 0.0000 0.5000 [2 per cell]
K: 0.0849 0.7038 0.3262 [16 per cell]
Au: 0.0000 0.0000 0.0000 [2 per cell]